1.
Computed, not measured: a relaxed structure of TbSm7Ho2 at the PBE-GGA level of DFT.

abc: 6.2228 7.1994 8.0502
angles: 77.06 75.07 73.40
Closest atoms and distances in Å follow each position.
Element x y z (fractional)
Tb: 0.0000 0.0000 0.0000  10 Sm 3.60, 2 Ho 3.60
Sm: 0.0000 0.5000 0.0000  8 Sm 3.60-3.61, 2 Ho 3.60, 2 Tb 3.60
Sm: 0.2000 0.2997 0.5995  4 Ho 3.59-3.61, 7 Sm 3.59-3.61, 1 Tb 3.60
Sm: 0.4002 0.0994 0.2006  3 Ho 3.59-3.60, 7 Sm 3.59-3.61, 2 Tb 3.60
Sm: 0.4001 0.6002 0.2006  9 Sm 3.59-3.61, 2 Ho 3.60-3.61, 1 Tb 3.60
Sm: 0.5999 0.3998 0.7994  9 Sm 3.59-3.61, 2 Ho 3.60-3.61, 1 Tb 3.60
Sm: 0.5998 0.9006 0.7994  3 Ho 3.59-3.60, 7 Sm 3.59-3.61, 2 Tb 3.60
Sm: 0.8000 0.7003 0.4005  4 Ho 3.59-3.61, 7 Sm 3.59-3.61, 1 Tb 3.60
Ho: 0.1986 0.8012 0.5999  1 Ho 3.58, 10 Sm 3.59-3.61, 1 Tb 3.60
Ho: 0.8014 0.1988 0.4001  1 Ho 3.58, 10 Sm 3.59-3.61, 1 Tb 3.60

## Properties
The value obtained for the total magnetic moment is 0.00 μB per cell. As for the energy above the most stable polymorph in this dataset: 0.000 eV/atom. As for the density of states at the Fermi level: 12.12 states/eV/f.u. The calculation puts the raw total energy at -4.670 eV/atom. The density is 7767 kg/m³.


2.
Computed, not measured: a relaxed structure of Tb2Sm7Ho at the PBE-GGA level of DFT.

abc: 6.2322 6.2430 9.5329
angles: 70.91 71.01 80.57
Closest atoms and distances in Å follow each position.
Element x y z (fractional)
Tb: 0.9997 0.1999 0.0999  9 Sm 3.60-3.61, 2 Tb 3.60-3.61, 1 Ho 3.61
Tb: 0.0003 0.8001 0.9001  9 Sm 3.60-3.61, 2 Tb 3.60-3.61, 1 Ho 3.61
Sm: 0.0000 0.4000 0.6999  7 Sm 3.59-3.61, 3 Tb 3.60-3.61, 2 Ho 3.60
Sm: 0.0000 0.6000 0.3001  7 Sm 3.59-3.61, 3 Tb 3.60-3.61, 2 Ho 3.60
Sm: 0.4987 0.7012 0.6001  9 Sm 3.59-3.61, 2 Ho 3.59-3.60, 1 Tb 3.60
Sm: 0.4992 0.9005 0.2000  8 Sm 3.59-3.61, 3 Tb 3.60-3.61, 1 Ho 3.60
Sm: 0.5000 0.5000 0.0000  4 Tb 3.60, 8 Sm 3.60-3.61
Sm: 0.5008 0.0995 0.8000  8 Sm 3.59-3.61, 3 Tb 3.60-3.61, 1 Ho 3.60
Sm: 0.5013 0.2988 0.3999  9 Sm 3.59-3.61, 2 Ho 3.59-3.60, 1 Tb 3.60
Ho: 0.0000 0.0000 0.5000  10 Sm 3.59-3.60, 2 Tb 3.61

## Properties
The value obtained for the total magnetic moment is 0.00 μB per cell. As for the energy above the most stable polymorph in this dataset: 0.000 eV/atom. As for the density of states at the Fermi level: 14.75 states/eV/f.u. The calculation puts the raw total energy at -4.671 eV/atom. The density is 7708 kg/m³.


3.
Computed, not measured: a relaxed structure of TbSm8Ho4 at the PBE-GGA level of DFT.

abc: 10.2932 10.2932 10.2932
angles: 41.46 41.46 41.46
Closest atoms and distances in Å follow each position.
Element x y z (fractional)
Tb: 0.0000 0.0000 0.0000  6 Sm 3.00
Sm: 0.2512 0.2512 0.7020  1 Tb 3.00, 2 Sm 3.29, 1 Ho 3.36
Sm: 0.2512 0.7020 0.2512  1 Tb 3.00, 2 Sm 3.29, 1 Ho 3.36
Sm: 0.2857 0.2857 0.2857  9 Sm 3.70-3.77, 3 Ho 3.96
Sm: 0.2980 0.7488 0.7488  1 Tb 3.00, 2 Sm 3.29, 1 Ho 3.36
Sm: 0.7020 0.2512 0.2512  1 Tb 3.00, 2 Sm 3.29, 1 Ho 3.36
Sm: 0.7143 0.7143 0.7143  9 Sm 3.70-3.77, 3 Ho 3.96
Sm: 0.7488 0.2980 0.7488  1 Tb 3.00, 2 Sm 3.29, 1 Ho 3.36
Sm: 0.7488 0.7488 0.2980  1 Tb 3.00, 2 Sm 3.29, 1 Ho 3.36
Ho: 0.0000 0.0000 0.5000  6 Sm 3.55-3.96, 6 Ho 3.64
Ho: 0.0000 0.5000 0.0000  6 Sm 3.55-3.96, 6 Ho 3.64
Ho: 0.5000 0.0000 0.0000  6 Sm 3.55-3.96, 6 Ho 3.64
Ho: 0.5000 0.5000 0.5000  6 Sm 3.36, 6 Ho 3.64

## Properties
The value obtained for the total magnetic moment is 0.00 μB per cell. As for the density of states at the Fermi level: 12.98 states/eV/f.u. The calculation puts the raw total energy at -4.472 eV/atom. The density is 7769 kg/m³.


4.
Computed, not measured: a relaxed structure of TbSm6Ho4 at the PBE-GGA level of DFT.

abc: 9.7652 9.7652 9.7652
angles: 140.37 140.37 57.29
Closest atoms and distances in Å follow each position.
Element x y z (fractional)
Tb: 0.0000 0.0000 0.0000  8 Sm 3.31-3.49
Sm: 0.0000 0.5000 0.5000  4 Ho 3.28, 2 Tb 3.31
Sm: 0.0129 0.6355 0.0000  5 Ho 3.36-3.58, 1 Tb 3.49, 1 Sm 3.53
Sm: 0.3645 0.3645 0.3774  5 Ho 3.36-3.58, 1 Tb 3.49, 1 Sm 3.53
Sm: 0.5000 0.0000 0.5000  4 Ho 3.28, 2 Tb 3.31
Sm: 0.6355 0.0129 0.0000  5 Ho 3.36-3.58, 1 Tb 3.49, 1 Sm 3.53
Sm: 0.9871 0.9871 0.6226  5 Ho 3.36-3.58, 1 Tb 3.49, 1 Sm 3.53
Ho: 0.1921 0.1921 0.6408  7 Sm 3.28-3.58, 1 Ho 3.36
Ho: 0.4488 0.8079 0.0000  7 Sm 3.28-3.58, 1 Ho 3.36
Ho: 0.5512 0.5512 0.3592  7 Sm 3.28-3.58, 1 Ho 3.36
Ho: 0.8079 0.4488 0.0000  7 Sm 3.28-3.58, 1 Ho 3.36

## Properties
The value obtained for the total magnetic moment is 0.00 μB per cell. As for the energy above the most stable polymorph in this dataset: 0.188 eV/atom. As for the density of states at the Fermi level: 16.84 states/eV/f.u. The calculation puts the raw total energy at -4.352 eV/atom. The density is 7607 kg/m³.


5.
Computed, not measured: a relaxed structure of Tb3Sm2HoTe6 at the PBE-GGA level of DFT.

abc: 9.8076 9.8076 8.8306
angles: 102.69 102.69 25.71
Closest atoms and distances in Å follow each position.
Element x y z (fractional)
Tb: 0.0000 0.0000 0.0000  6 Te 3.06-3.12
Tb: 0.3293 0.3293 0.6661  6 Te 3.07-3.14
Tb: 0.6707 0.6707 0.3339  6 Te 3.07-3.14
Sm: 0.3307 0.3307 0.1635  6 Te 3.11-3.19
Sm: 0.6693 0.6693 0.8365  6 Te 3.11-3.19
Ho: 0.0000 0.0000 0.5000  6 Te 3.05-3.09
Te: 0.1640 0.1640 0.0865  3 Tb 3.06-3.07, 3 Sm 3.11-3.12
Te: 0.1639 0.1639 0.5781  1 Ho 3.05, 3 Tb 3.08-3.09, 2 Sm 3.14
Te: 0.4980 0.4980 0.7465  2 Ho 3.09, 3 Tb 3.12-3.14, 1 Sm 3.19
Te: 0.5020 0.5020 0.2535  2 Ho 3.09, 3 Tb 3.12-3.14, 1 Sm 3.19
Te: 0.8361 0.8361 0.4219  1 Ho 3.05, 3 Tb 3.08-3.09, 2 Sm 3.14
Te: 0.8360 0.8360 0.9135  3 Tb 3.06-3.07, 3 Sm 3.11-3.12

## Properties
The value obtained for the total magnetic moment is 0.00 μB per cell. For the energy relative to the elements, uncorrected, the calculation gives -1.324 eV/atom. As for the density of states at the Fermi level: 6.58 states/eV/f.u. The calculation puts the raw total energy at -5.221 eV/atom. The density is 7899 kg/m³.


6.
Computed, not measured: a relaxed structure of TbSm2Ho3Te6 at the PBE-GGA level of DFT.

abc: 9.8093 9.8093 8.8177
angles: 103.58 103.58 25.61
Closest atoms and distances in Å follow each position.
Element x y z (fractional)
Tb: 0.0000 0.0000 0.0000  6 Te 3.09-3.11
Sm: 0.3318 0.3318 0.6639  6 Te 3.12-3.17
Sm: 0.6682 0.6682 0.3361  6 Te 3.12-3.17
Ho: 0.0000 0.0000 0.5000  6 Te 3.04-3.08
Ho: 0.3308 0.3308 0.1660  6 Te 3.05-3.09
Ho: 0.6692 0.6692 0.8340  6 Te 3.05-3.09
Te: 0.1638 0.1638 0.5889  3 Ho 3.04-3.05, 3 Sm 3.12-3.13
Te: 0.1662 0.1662 0.0773  3 Ho 3.06, 1 Tb 3.09, 2 Sm 3.14
Te: 0.4975 0.4975 0.2508  3 Ho 3.08-3.09, 2 Tb 3.11, 1 Sm 3.17
Te: 0.5025 0.5025 0.7492  3 Ho 3.08-3.09, 2 Tb 3.11, 1 Sm 3.17
Te: 0.8338 0.8338 0.9227  3 Ho 3.06, 1 Tb 3.09, 2 Sm 3.14
Te: 0.8362 0.8362 0.4111  3 Ho 3.04-3.05, 3 Sm 3.12-3.13

## Properties
The value obtained for the total magnetic moment is 0.00 μB per cell. For the energy relative to the elements, uncorrected, the calculation gives -1.304 eV/atom. As for the density of states at the Fermi level: 6.25 states/eV/f.u. The calculation puts the raw total energy at -5.192 eV/atom. The density is 8024 kg/m³.


7.
Computed, not measured: a relaxed structure of Tb2SmHoTe5 at the PBE-GGA level of DFT.

abc: 5.5192 5.5192 11.6904
angles: 90.00 90.00 90.00
Closest atoms and distances in Å follow each position.
Element x y z (fractional)
Tb: 0.0000 0.0000 0.1489  4 Te 3.26, 1 Tb 3.48
Tb: 0.0000 0.0000 0.8511  4 Te 3.26, 1 Tb 3.48
Sm: 0.5000 0.5000 0.5000  2 Te 2.91
Ho: 0.5000 0.5000 0.0000  6 Te 2.76-2.93
Te: 0.0000 0.0000 0.5000  4 Sm 3.90, 2 Tb 4.10
Te: 0.0000 0.5000 0.0000  2 Ho 2.76
Te: 0.5000 0.0000 0.0000  2 Ho 2.76
Te: 0.5000 0.5000 0.2509  1 Sm 2.91, 1 Ho 2.93
Te: 0.5000 0.5000 0.7491  1 Sm 2.91, 1 Ho 2.93

## Properties
The value obtained for the total magnetic moment is 0.59 μB per cell. For the energy relative to the elements, uncorrected, the calculation gives -0.699 eV/atom. As for the density of states at the Fermi level: 4.33 states/eV/f.u. The calculation puts the raw total energy at -4.506 eV/atom. The density is 5927 kg/m³.


8.
Computed, not measured: a relaxed structure of Tb3Sm4HoTe8 at the PBE-GGA level of DFT.

abc: 8.8419 8.8419 8.8419
angles: 59.51 59.51 59.51
Closest atoms and distances in Å follow each position.
Element x y z (fractional)
Tb: 0.0000 0.5000 0.5000  6 Te 3.09
Tb: 0.5000 0.0000 0.5000  6 Te 3.09
Tb: 0.5000 0.5000 0.0000  6 Te 3.09
Sm: 0.0000 0.0000 0.5000  6 Te 3.14
Sm: 0.0000 0.5000 0.0000  6 Te 3.14
Sm: 0.5000 0.0000 0.0000  6 Te 3.14
Sm: 0.5000 0.5000 0.5000  6 Te 3.16
Ho: 0.0000 0.0000 0.0000  6 Te 3.07
Te: 0.2467 0.2467 0.7491  1 Ho 3.07, 2 Tb 3.09, 3 Sm 3.14-3.16
Te: 0.2467 0.7491 0.2467  1 Ho 3.07, 2 Tb 3.09, 3 Sm 3.14-3.16
Te: 0.2509 0.7533 0.7533  1 Ho 3.07, 2 Tb 3.09, 3 Sm 3.14-3.16
Te: 0.2521 0.2521 0.2521  3 Tb 3.09, 3 Sm 3.14
Te: 0.7479 0.7479 0.7479  3 Tb 3.09, 3 Sm 3.14
Te: 0.7491 0.2467 0.2467  1 Ho 3.07, 2 Tb 3.09, 3 Sm 3.14-3.16
Te: 0.7533 0.2509 0.7533  1 Ho 3.07, 2 Tb 3.09, 3 Sm 3.14-3.16
Te: 0.7533 0.7533 0.2509  1 Ho 3.07, 2 Tb 3.09, 3 Sm 3.14-3.16

## Properties
The value obtained for the total magnetic moment is 0.00 μB per cell. For the energy relative to the elements, uncorrected, the calculation gives -1.336 eV/atom. As for the density of states at the Fermi level: 12.12 states/eV/f.u. The calculation puts the raw total energy at -5.241 eV/atom. The density is 7779 kg/m³.


9.
Computed, not measured: a relaxed structure of TbSm3Ho3Te8 at the PBE-GGA level of DFT.

abc: 8.7559 8.7559 8.7559
angles: 59.85 59.85 59.85
Closest atoms and distances in Å follow each position.
Element x y z (fractional)
Tb: 0.0000 0.0000 0.0000  6 Te 3.15
Sm: 0.0000 0.0000 0.5000  6 Te 3.13
Sm: 0.0000 0.5000 0.0000  6 Te 3.13
Sm: 0.5000 0.0000 0.0000  6 Te 3.13
Ho: 0.0000 0.5000 0.5000  6 Te 3.06
Ho: 0.5000 0.0000 0.5000  6 Te 3.06
Ho: 0.5000 0.5000 0.0000  6 Te 3.06
Te: 0.2529 0.2529 0.2529  3 Ho 3.06, 3 Sm 3.13
Te: 0.2549 0.2549 0.7393  2 Ho 3.06, 2 Sm 3.13, 1 Tb 3.15
Te: 0.2549 0.7393 0.2549  2 Ho 3.06, 2 Sm 3.13, 1 Tb 3.15
Te: 0.2607 0.7451 0.7451  2 Ho 3.06, 2 Sm 3.13, 1 Tb 3.15
Te: 0.7393 0.2549 0.2549  2 Ho 3.06, 2 Sm 3.13, 1 Tb 3.15
Te: 0.7451 0.2607 0.7451  2 Ho 3.06, 2 Sm 3.13, 1 Tb 3.15
Te: 0.7451 0.7451 0.2607  2 Ho 3.06, 2 Sm 3.13, 1 Tb 3.15
Te: 0.7471 0.7471 0.7471  3 Ho 3.06, 3 Sm 3.13

## Properties
The value obtained for the total magnetic moment is 0.00 μB per cell. For the energy relative to the elements, uncorrected, the calculation gives -1.387 eV/atom. As for the density of states at the Fermi level: 6.85 states/eV/f.u. The calculation puts the raw total energy at -5.231 eV/atom. The density is 7461 kg/m³.


10.
Computed, not measured: a relaxed structure of Tb2Sm3HoTe6 at the PBE-GGA level of DFT.

abc: 9.8573 9.8573 8.8649
angles: 103.48 103.48 25.63
Closest atoms and distances in Å follow each position.
Element x y z (fractional)
Tb: 0.1675 0.1675 0.3350  6 Te 3.08-3.11
Tb: 0.8325 0.8325 0.6650  6 Te 3.08-3.11
Sm: 0.1679 0.1679 0.8338  6 Te 3.13-3.16
Sm: 0.5000 0.5000 0.5000  6 Te 3.13-3.15
Sm: 0.8321 0.8321 0.1662  6 Te 3.13-3.16
Ho: 0.5000 0.5000 0.0000  6 Te 3.06-3.07
Te: 0.0011 0.0011 0.2442  2 Ho 3.07, 1 Tb 3.11, 3 Sm 3.15-3.16
Te: 0.3324 0.3324 0.4197  3 Tb 3.08, 3 Sm 3.13
Te: 0.3361 0.3361 0.9136  1 Ho 3.06, 2 Tb 3.09, 3 Sm 3.14
Te: 0.6639 0.6639 0.0864  1 Ho 3.06, 2 Tb 3.09, 3 Sm 3.14
Te: 0.6676 0.6676 0.5803  3 Tb 3.08, 3 Sm 3.13
Te: 0.9989 0.9989 0.7558  2 Ho 3.07, 1 Tb 3.11, 3 Sm 3.15-3.16

## Properties
The value obtained for the total magnetic moment is 0.00 μB per cell. For the energy relative to the elements, uncorrected, the calculation gives -1.338 eV/atom. As for the density of states at the Fermi level: 6.22 states/eV/f.u. The calculation puts the raw total energy at -5.242 eV/atom. The density is 7799 kg/m³.